A plane-wave DFT calculation with GGA-PBE was carried out for a geometry-optimized Si2HgPdF structure.

Values from the calculation:
Formation energy (no corrections) in eV per atom: -0.013
Size of the total moment in μB/f.u.: 0.00
Final energy in eV per atom: -3.6550

```
Si2HgPdF
1.0
4.720 0.000 0.000
0.000 4.720 0.000
0.000 0.000 4.411
Si Hg Pd F
2 1 1 1
direct
0.000 0.500 0.000 Si
0.500 0.000 0.000 Si
0.000 0.000 0.500 Hg
0.500 0.500 0.000 Pd
0.500 0.500 0.500 F
```

A plane-wave DFT calculation with GGA-PBE was carried out for a geometry-optimized TcHg2PdF structure.

Values from the calculation:
Formation energy (no corrections) in eV per atom: 0.239
Size of the total moment in μB/f.u.: 2.33
Final energy in eV per atom: -3.3677

```
TcHg2PdF
1.0
5.374 0.000 0.000
0.000 5.374 0.000
0.000 0.000 3.932
Tc Hg Pd F
1 2 1 1
direct
0.000 0.000 0.000 Tc
0.000 0.500 0.000 Hg
0.500 0.000 0.000 Hg
0.500 0.500 0.500 Pd
0.000 0.000 0.500 F
```